Here is crystalline BiWNO2 at its relaxed geometry from the Alexandria database. Energies are from PBE+U.

Unit cell a=4.0158 b=4.0158 c=4.1312 alpha=90.00 beta=90.00 gamma=90.00
Space group P4/mmm (No. 123)
Symmetry-distinct sites (fractional):
Bi: 0.0000 0.0000 0.0000
W: 0.5000 0.5000 0.5000
N: 0.5000 0.5000 0.0000
O: 0.0000 0.5000 0.5000

Summary:
Mass density ... 10.938 g/cm³
VASP energy ... -32.29 eV per cell
DOS at the Fermi energy ... 0.379 states/eV/atom